VASP calculation (PBE) on crystalline Gd2ErGa at its relaxed geometry.

Summary:
- Space-group type: P4/mmm (123)
- Energy above the most stable polymorph in this dataset: 0.0000 eV/atom
- V: 112 Å³/cell
- Energy of formation: -261 meV/atom
- Electronic total energy: -9.199 eV per atom

Unit cell a=3.5337 b=3.5337 c=8.9372 alpha=90.00 beta=90.00 gamma=90.00
Last column: magnetic moment on the atom in μB.
Sites, in units of the cell vectors:
Er1 0.5000 0.5000 0.5000  0.05
Ga1 0.5000 0.5000 0.0000  -0.03
Gd1 0.0000 0.0000 0.7877  7.10
Gd2 0.0000 0.0000 0.2123  7.10

VASP calculation (PBE) on crystalline Tc3HgW at its relaxed geometry.

Summary:
- Space-group type: Pm-3m (221)
- Energy above the most stable polymorph in this dataset: 0.0000 eV/atom
- V: 106 Å³/cell
- Energy of formation: 1672 meV/atom
- Electronic total energy: -7.199 eV per atom

Unit cell a=4.7368 b=4.7368 c=4.7368 alpha=90.00 beta=90.00 gamma=90.00
Last column: magnetic moment on the atom in μB.
Sites, in units of the cell vectors:
Tc1 0.5000 0.0000 0.0000  0.86
Tc2 0.0000 0.5000 0.0000  0.87
Tc3 0.0000 0.0000 0.5000  0.87
W1 0.0000 0.0000 0.0000  -0.15
Hg1 0.5000 0.5000 0.5000  -0.02

VASP calculation (PBE) on crystalline LiRhF3 at its relaxed geometry.

Summary:
- Space-group type: C2/c (15)
- Energy above the most stable polymorph in this dataset: 0.0000 eV/atom
- V: 259 Å³/cell
- Energy relative to the elements, uncorrected: -1.79 eV per atom
- Electronic total energy: -4.763 eV per atom

Unit cell a=5.5232 b=6.8625 c=6.8625 alpha=89.84 beta=85.86 gamma=85.86
Last column: magnetic moment on the atom in μB.
Sites, in units of the cell vectors:
F1 0.3526 0.2510 0.0011  0.05
F2 0.1474 0.9989 0.7490  0.05
F3 0.1386 0.2943 0.4442  0.00
F4 0.8614 0.7057 0.5558  0.00
F5 0.6474 0.7490 0.9989  0.05
F6 0.3614 0.5558 0.7057  0.00
F7 0.9092 0.3675 0.8301  0.03
F8 0.8526 0.0011 0.2510  0.05
F9 0.6386 0.4442 0.2943  0.00
F10 0.4092 0.8301 0.3675  0.03
F11 0.5908 0.1699 0.6325  0.03
F12 0.0908 0.6325 0.1699  0.03
Li1 0.3084 0.4166 0.2306  0.00
Li2 0.8084 0.2306 0.4166  0.00
Li3 0.1916 0.7694 0.5834  0.00
Li4 0.6916 0.5834 0.7694  0.00
Rh1 0.7500 0.7202 0.2798  -0.09
Rh2 0.2500 0.9256 0.0744  1.81
Rh3 0.2500 0.2798 0.7202  -0.09
Rh4 0.7500 0.0744 0.9256  1.81

VASP calculation (PBE) on crystalline CeCd2Rh at its relaxed geometry.

Summary:
- Space-group type: R-3m (166)
- V: 85 Å³/cell
- Energy of formation: 137 meV/atom
- Electronic total energy: -3.642 eV per atom

Unit cell a=2.9650 b=2.9650 c=11.2863 alpha=82.45 beta=82.45 gamma=60.00
Last column: magnetic moment on the atom in μB.
Sites, in units of the cell vectors:
Rh1 0.5000 0.5000 0.5000  0.01
Ce1 0.0000 0.0000 0.0000  0.47
Cd1 0.9008 0.9008 0.2977  0.00
Cd2 0.0992 0.0992 0.7023  0.00

VASP calculation (PBE) on crystalline LaEuZnRh at its relaxed geometry.

Summary:
- Space-group type: F-43m (216)
- V: 96 Å³/cell
- Energy of formation: -412 meV/atom
- Electronic total energy: -6.369 eV per atom

Unit cell a=5.1432 b=5.1432 c=5.1432 alpha=60.00 beta=60.00 gamma=60.00
Last column: magnetic moment on the atom in μB.
Sites, in units of the cell vectors:
La1 0.2500 0.2500 0.2500  -0.02
Zn1 0.0000 0.0000 0.0000  -0.01
Eu1 0.7500 0.7500 0.7500  -6.78
Rh1 0.5000 0.5000 0.5000  0.10

VASP calculation (PBE) on crystalline Zn2PbBr at its relaxed geometry.

Summary:
- Space-group type: I-42d (122)
- Energy above the most stable polymorph in this dataset: 0.1086 eV/atom
- V: 256 Å³/cell
- Energy relative to the elements, uncorrected: 0.03 eV per atom
- Electronic total energy: -1.953 eV per atom

Unit cell a=6.4842 b=6.4842 c=7.6159 alpha=64.81 beta=64.81 gamma=90.00
Sites, in units of the cell vectors:
Pb1 0.0000 0.0000 0.0000
Pb2 0.7500 0.2500 0.5000
Zn1 0.3750 0.3708 0.7500
Zn2 0.1208 0.6250 0.2500
Zn3 0.6292 0.1250 0.2500
Zn4 0.8750 0.8792 0.7500
Br1 0.2500 0.7500 0.5000
Br2 0.5000 0.5000 0.0000

VASP calculation (PBE) on crystalline Ac2ReOsN6 at its relaxed geometry.

Summary:
- Space-group type: P4/mnc (128)
- V: 257 Å³/cell
- Energy relative to the elements, uncorrected: -0.54 eV per atom
- Electronic total energy: -8.722 eV per atom

Unit cell a=5.6718 b=5.6717 c=7.9991 alpha=90.00 beta=90.00 gamma=90.00
Sites, in units of the cell vectors:
Ac1 0.0000 0.0000 0.2500
Ac2 0.5000 0.5000 0.7500
Ac3 0.0000 0.0000 0.7500
Ac4 0.5000 0.5000 0.2500
Re1 0.0000 0.5000 0.0000
Re2 0.5000 0.0000 0.5000
N1 0.5005 0.0000 0.2504
N2 0.0005 0.5000 0.7504
N3 0.2482 0.2494 0.0003
N4 0.9995 0.5000 0.2496
N5 0.7506 0.7518 0.5003
N6 0.7494 0.2518 0.9997
N7 0.2506 0.7482 0.0003
N8 0.2518 0.7494 0.4997
N9 0.4995 0.0000 0.7496
N10 0.2494 0.2482 0.4997
N11 0.7518 0.7506 0.9997
N12 0.7482 0.2506 0.5003
Os1 0.0000 0.5000 0.5000
Os2 0.5000 0.0000 0.0000

VASP calculation (PBE) on crystalline HgMoBr2 at its relaxed geometry.

Summary:
- Space-group type: Cmm2 (35)
- Energy above the most stable polymorph in this dataset: 0.3517 eV/atom
- V: 102 Å³/cell
- Energy relative to the elements, uncorrected: 0.32 eV per atom
- Electronic total energy: -3.303 eV per atom

Unit cell a=3.4906 b=3.4906 c=10.1221 alpha=90.00 beta=90.00 gamma=124.30
Last column: magnetic moment on the atom in μB.
Sites, in units of the cell vectors:
Br1 0.0000 0.0000 0.9382  0.01
Br2 0.5000 0.5000 0.2982  -0.01
Hg1 0.0000 0.0000 0.5175  0.00
Mo1 0.5000 0.5000 0.7461  0.93

Q: electronic total energy of number 6 (Zn2PbBr)?
A: -1.953 eV per atom

Q: Among the records above, which one has the lowest V?
A: CeCd2Rh

Q: electronic total energy of number 2 (Tc3HgW)?
A: -7.199 eV per atom

Q: Among the records above, which one has the lowest electronic total energy?
A: Gd2ErGa